The following is a SCAN calculation of a crystal of NaGe3Bi relaxed with PBEsol, from the Alexandria database.

Results
As for the calculated total energy: -27.035 eV/atom. Its formation enthalpy at 0 K is 976 meV/atom. The calculation puts the total magnetic moment at 0.00 μB/f.u. The density of states at the Fermi level is 2.7 states/eV per cell.

Unit cell a=5.001 b=5.001 c=5.001 alpha=90.00 beta=90.00 gamma=90.00
Atoms (fractional coordinates):
Ge  0.000  0.500  0.000
Ge  0.500  0.000  0.000
Ge  0.000  0.000  0.500
Bi  0.500  0.500  0.500
Na  0.000  0.000  0.000